Computed, not measured: crystalline GaTe3I at its relaxed geometry at the GGA-PBE level of DFT.

Total energy ... -2.90 eV per atom
Energy relative to the elements, uncorrected ... -10.0 kJ/mol of atoms
Calculated volume ... 182.43 Å³/f.u.
Space group ... P2_1 (4)
Spin magnetization ... 0.0000 μB per atom

```
GaTe3I
1.0
7.7994 0.0000 0.0000
0.0000 5.7913 0.0000
-0.0060 0.0000 8.0776
Ga Te I
2 6 2
direct
0.2500 0.0000 0.0035
0.7500 0.5000 0.9965
0.0074 0.7278 0.7958
0.2496 0.3703 0.7596
0.4923 0.7278 0.7958
0.5077 0.2278 0.2042
0.7504 0.8703 0.2404
0.9926 0.2278 0.2042
0.2505 0.6599 0.2579
0.7495 0.1599 0.7421
```

=====

Computed, not measured: crystalline Pm3PrErTm at its relaxed geometry at the GGA-PBE level of DFT.

Total energy ... -4.65 eV per atom
Calculated volume ... 199.84 Å³/f.u.
Space group ... P2_1/m (11)
Energy of formation ... 0.025 eV per atom
Spin magnetization ... 0.0000 μB per atom

```
Pm3PrErTm
1.0
8.0510 0.0000 0.0000
0.0000 5.1242 0.0000
-3.2592 0.0000 9.6882
Pm Pr Er Tm
6 2 2 2
direct
0.1706 0.2500 0.0421
0.1709 0.2500 0.5429
0.1707 0.7500 0.7923
0.8293 0.2500 0.2077
0.8291 0.7500 0.4571
0.8294 0.7500 0.9579
0.1700 0.7500 0.2924
0.8300 0.2500 0.7076
0.4993 0.2500 0.8753
0.5007 0.7500 0.1247
0.5003 0.2500 0.3746
0.4997 0.7500 0.6254
```

=====

Computed, not measured: crystalline Ba2Hg2Ir at its relaxed geometry at the GGA-PBE level of DFT.

Total energy ... -2.69 eV per atom
Calculated volume ... 152.19 Å³/f.u.
Space group ... P4/mbm (127)
Energy of formation ... -0.028 eV per atom
Spin magnetization ... 0.0000 μB per atom

```
Ba2Hg2Ir
1.0
7.6480 0.0000 0.0000
0.0000 7.6480 0.0000
0.0000 0.0000 5.2036
Ba Hg Ir
4 4 2
direct
0.1810 0.3190 0.0000
0.3190 0.8190 0.0000
0.6810 0.1810 0.0000
0.8190 0.6810 0.0000
0.1406 0.6406 0.5000
0.3594 0.1406 0.5000
0.6406 0.8594 0.5000
0.8594 0.3594 0.5000
0.0000 0.0000 0.5000
0.5000 0.5000 0.5000
```

=====

Computed, not measured: crystalline CeSb2P2Pt7 at its relaxed geometry at the GGA-PBE level of DFT.

Total energy ... -6.25 eV per atom
Energy relative to the elements, uncorrected ... -62.0 kJ/mol of atoms
Calculated volume ... 237.41 Å³/f.u.
Space group ... I4/mmm (139)
Spin magnetization ... 0.0192 μB per atom

```
CeSb2P2Pt7
1.0
-1.9964 1.9964 14.8916
1.9964 -1.9964 14.8916
1.9964 1.9964 -14.8916
Ce Sb P Pt
1 2 2 7
direct
0.0000 0.0000 0.0000
0.2119 0.2119 0.0000
0.7881 0.7881 0.0000
0.3797 0.3797 0.0000
0.6203 0.6203 0.0000
0.0763 0.5763 0.5000
0.3025 0.3025 0.0000
0.4237 0.9237 0.5000
0.5000 0.5000 0.0000
0.5763 0.0763 0.5000
0.6975 0.6975 0.0000
0.9237 0.4237 0.5000
```

=====

Computed, not measured: crystalline P2Br at its relaxed geometry at the GGA-PBE level of DFT.

Total energy ... -4.16 eV per atom
Energy relative to the elements, uncorrected ... 0.5 kJ/mol of atoms
Calculated volume ... 91.78 Å³/f.u.
Space group ... Cm (8)
Spin magnetization ... 0.0000 μB per atom

```
P2Br
1.0
6.9916 -1.7915 0.0000
6.9916 1.7915 0.0000
-0.1911 0.0000 7.3272
P Br
4 2
direct
0.0000 0.0000 0.0000
0.0525 0.0525 0.2957
0.6043 0.6043 0.9822
0.6596 0.6596 0.2627
0.3798 0.3798 0.1811
0.7019 0.7019 0.7447
```

=====

Computed, not measured: crystalline Nd2NiSn3Pt4 at its relaxed geometry at the GGA-PBE level of DFT.

Total energy ... -5.88 eV per atom
Calculated volume ... 214.63 Å³/f.u.
Space group ... P-4m2 (115)
Energy of formation ... -0.734 eV per atom
Spin magnetization ... 0.0000 μB per atom

```
Nd2NiSn3Pt4
1.0
4.3503 0.0000 0.0000
0.0000 4.3503 0.0000
0.0000 0.0000 11.3413
Nd Ni Sn Pt
2 1 3 4
direct
0.0000 0.5000 0.2317
0.5000 0.0000 0.7683
0.5000 0.5000 0.0000
0.0000 0.0000 0.0000
0.0000 0.5000 0.6364
0.5000 0.0000 0.3636
0.0000 0.0000 0.5000
0.0000 0.5000 0.8663
0.5000 0.0000 0.1337
0.5000 0.5000 0.5000
```

=====

Computed, not measured: crystalline Ca3In7Au2 at its relaxed geometry at the GGA-PBE level of DFT.

Total energy ... -3.00 eV per atom
Calculated volume ... 310.66 Å³/f.u.
Space group ... R-3m (166)
Energy of formation ... -0.357 eV per atom
Spin magnetization ... 0.0000 μB per atom

```
Ca3In7Au2
1.0
3.0666 1.7705 9.5366
-3.0666 1.7705 9.5366
0.0000 -3.5410 9.5366
Ca In Au
3 7 2
direct
0.0000 0.0000 0.0000
0.1420 0.1420 0.1420
0.8580 0.8580 0.8580
0.0720 0.5843 0.5843
0.4157 0.4157 0.9280
0.4157 0.9280 0.4157
0.5000 0.5000 0.5000
0.5843 0.0720 0.5843
0.5843 0.5843 0.0720
0.9280 0.4157 0.4157
0.3360 0.3360 0.3360
0.6640 0.6640 0.6640
```

=====

Computed, not measured: crystalline NdInNi2 at its relaxed geometry at the GGA-PBE level of DFT.

Total energy ... -5.18 eV per atom
Calculated volume ... 76.07 Å³/f.u.
Space group ... Pmma (51)
Energy of formation ... -0.408 eV per atom
Spin magnetization ... 0.0000 μB per atom

```
NdInNi2
1.0
5.2089 0.0000 0.0000
0.0000 4.0814 0.0000
0.0000 0.0000 7.1563
Nd In Ni
2 2 4
direct
0.2500 0.0000 0.2261
0.7500 0.0000 0.7739
0.2500 0.5000 0.8445
0.7500 0.5000 0.1555
0.0000 0.5000 0.5000
0.2500 0.0000 0.6072
0.5000 0.5000 0.5000
0.7500 0.0000 0.3928
```

=====

Computed, not measured: crystalline LaAl6Pd12 at its relaxed geometry at the GGA-PBE level of DFT.

Total energy ... -5.47 eV per atom
Calculated volume ... 319.54 Å³/f.u.
Space group ... R-3m (166)
Energy of formation ... -0.751 eV per atom
Spin magnetization ... 0.0000 μB per atom

```
LaAl6Pd12
1.0
5.7528 3.3214 2.7873
-5.7528 3.3214 2.7873
0.0000 -6.6428 2.7873
La Al Pd
1 6 12
direct
0.0000 0.0000 0.0000
0.2661 0.2661 0.7059
0.2661 0.7059 0.2661
0.2941 0.7339 0.7339
0.7059 0.2661 0.2661
0.7339 0.2941 0.7339
0.7339 0.7339 0.2941
0.1213 0.5000 0.8787
0.1213 0.8787 0.5000
0.1633 0.4132 0.4132
0.4132 0.1633 0.4132
0.4132 0.4132 0.1633
0.5000 0.1213 0.8787
0.5000 0.8787 0.1213
0.5868 0.5868 0.8367
0.5868 0.8367 0.5868
0.8367 0.5868 0.5868
0.8787 0.1213 0.5000
0.8787 0.5000 0.1213
```

=====

Computed, not measured: crystalline La2TlPdN at its relaxed geometry at the GGA-PBE level of DFT.

Total energy ... -5.82 eV per atom
Energy relative to the elements, uncorrected ... -64.9 kJ/mol of atoms
Calculated volume ... 115.13 Å³/f.u.
Space group ... P4/mmm (123)
Spin magnetization ... 0.0000 μB per atom

```
La2TlPdN
1.0
5.1188 0.0000 0.0000
0.0000 5.1188 0.0000
0.0000 0.0000 4.3941
La Tl Pd N
2 1 1 1
direct
0.0000 0.5000 0.0000
0.5000 0.0000 0.0000
0.0000 0.0000 0.5000
0.5000 0.5000 0.5000
0.5000 0.5000 0.0000
```

=====

Computed, not measured: crystalline ScVS at its relaxed geometry at the GGA-PBE level of DFT.

Total energy ... -7.40 eV per atom
Energy relative to the elements, uncorrected ... -84.7 kJ/mol of atoms
Calculated volume ... 50.89 Å³/f.u.
Space group ... Cmcm (63)
Spin magnetization ... 0.0000 μB per atom

```
ScVS
1.0
1.6483 -7.7987 0.0000
1.6483 7.7987 0.0000
0.0000 0.0000 3.9593
Sc V S
2 2 2
direct
0.1426 0.8574 0.7500
0.8574 0.1426 0.2500
0.4758 0.5242 0.7500
0.5242 0.4758 0.2500
0.3218 0.6782 0.7500
0.6782 0.3218 0.2500
```

=====

Computed, not measured: crystalline NbSbI2N at its relaxed geometry at the GGA-PBE level of DFT.

Total energy ... -3.94 eV per atom
Energy relative to the elements, uncorrected ... 114.3 kJ/mol of atoms
Calculated volume ... 148.63 Å³/f.u.
Space group ... P4/mmm (123)
Spin magnetization ... 0.7473 μB per atom

```
NbSbI2N
1.0
6.1277 0.0000 0.0000
0.0000 6.1277 0.0000
0.0000 0.0000 3.9582
Nb Sb I N
1 1 2 1
direct
0.0000 0.0000 0.0000
0.5000 0.5000 0.5000
0.0000 0.5000 0.5000
0.5000 0.0000 0.5000
0.5000 0.5000 0.0000
```

=====

Computed, not measured: crystalline MgFeIrAu2 at its relaxed geometry at the GGA-PBE level of DFT.

Total energy ... -3.96 eV per atom
Calculated volume ... 99.24 Å³/f.u.
Space group ... P4/mmm (123)
Energy of formation ... 1.133 eV per atom
Spin magnetization ... 0.6256 μB per atom

```
MgFeIrAu2
1.0
4.6698 0.0000 0.0000
0.0000 4.6698 0.0000
0.0000 0.0000 4.5509
Mg Fe Ir Au
1 1 1 2
direct
0.0000 0.0000 0.0000
0.0000 0.0000 0.5000
0.5000 0.5000 0.0000
0.0000 0.5000 0.5000
0.5000 0.0000 0.5000
```

=====

Computed, not measured: crystalline La2TlAg3 at its relaxed geometry at the GGA-PBE level of DFT.

Total energy ... -3.68 eV per atom
Calculated volume ... 165.44 Å³/f.u.
Space group ... Imm2 (44)
Energy of formation ... -0.221 eV per atom
Spin magnetization ... 0.0000 μB per atom

```
La2TlAg3
1.0
-2.0679 2.1785 9.1809
2.0679 -2.1785 9.1809
2.0679 2.1785 -9.1809
La Tl Ag
2 1 3
direct
0.0000 0.0000 0.0000
0.7657 0.2657 0.5000
0.5933 0.5933 0.0000
0.1876 0.6876 0.5000
0.3371 0.8371 0.5000
0.4328 0.4328 0.0000
```

=====

Computed, not measured: crystalline NaCoOs3 at its relaxed geometry at the GGA-PBE level of DFT.

Total energy ... -5.13 eV per atom
Calculated volume ... 82.85 Å³/f.u.
Space group ... Pm-3m (221)
Energy of formation ... 3.296 eV per atom
Spin magnetization ... 0.0001 μB per atom

```
NaCoOs3
1.0
4.3594 0.0000 0.0000
0.0000 4.3594 0.0000
0.0000 0.0000 4.3594
Na Co Os
1 1 3
direct
0.0000 0.0000 0.0000
0.5000 0.5000 0.5000
0.0000 0.0000 0.5000
0.0000 0.5000 0.0000
0.5000 0.0000 0.0000
```

=====

Computed, not measured: crystalline NiBP at its relaxed geometry at the GGA-PBE level of DFT.

Total energy ... -6.01 eV per atom
Calculated volume ... 33.89 Å³/f.u.
Space group ... Cm (8)
Energy of formation ... -0.050 eV per atom
Spin magnetization ... 0.0000 μB per atom

```
NiBP
1.0
3.9185 -1.6238 0.0000
3.9185 1.6238 0.0000
-1.3396 0.0000 5.3259
Ni B P
2 2 2
direct
0.0000 0.0000 0.0000
0.7448 0.7448 0.2505
0.3831 0.3831 0.6855
0.9480 0.9480 0.6043
0.1318 0.1318 0.4349
0.2895 0.2895 0.9867
```

=====

Computed, not measured: crystalline Tb3Ni at its relaxed geometry at the GGA-PBE level of DFT.

Total energy ... -4.90 eV per atom
Calculated volume ... 111.80 Å³/f.u.
Space group ... Pmm2 (25)
Energy of formation ... 0.017 eV per atom
Spin magnetization ... 0.0001 μB per atom

```
Tb3Ni
1.0
3.4931 0.0000 0.0000
0.0000 3.5620 0.0000
0.0000 0.0000 8.9851
Tb Ni
3 1
direct
0.0000 0.0000 0.0000
0.0000 0.5000 0.3445
0.5000 0.5000 0.7116
0.5000 0.0000 0.4777
```

=====

Computed, not measured: crystalline Ce2B3Os2 at its relaxed geometry at the GGA-PBE level of DFT.

Total energy ... -7.97 eV per atom
Calculated volume ... 99.22 Å³/f.u.
Space group ... C2/m (12)
Energy of formation ... -0.200 eV per atom
Spin magnetization ... 0.0001 μB per atom

```
Ce2B3Os2
1.0
5.0543 -1.8580 0.0000
5.0543 1.8580 0.0000
-3.1456 0.0000 5.2827
Ce B Os
2 3 2
direct
0.1466 0.1466 0.4959
0.8534 0.8534 0.5041
0.3993 0.3993 0.1809
0.5000 0.5000 0.0000
0.6007 0.6007 0.8191
0.1504 0.1504 0.0152
0.8496 0.8496 0.9848
```

=====

Computed, not measured: crystalline GeW2C at its relaxed geometry at the GGA-PBE level of DFT.

Total energy ... -9.75 eV per atom
Calculated volume ... 54.84 Å³/f.u.
Space group ... R-3m (166)
Energy of formation ... 0.189 eV per atom
Spin magnetization ... 0.0000 μB per atom

```
GeW2C
1.0
1.5465 0.8929 6.6193
-1.5465 0.8929 6.6193
0.0000 -1.7858 6.6193
Ge W C
1 2 1
direct
0.0000 0.0000 0.0000
0.2248 0.2248 0.2248
0.7752 0.7752 0.7752
0.5000 0.5000 0.5000
```

=====

Computed, not measured: crystalline NaTl3C at its relaxed geometry at the GGA-PBE level of DFT.

Total energy ... -2.68 eV per atom
Calculated volume ... 137.05 Å³/f.u.
Space group ... Pm-3m (221)
Energy of formation ... 0.844 eV per atom
Spin magnetization ... 0.0000 μB per atom

```
NaTl3C
1.0
5.1558 0.0000 0.0000
0.0000 5.1558 0.0000
0.0000 0.0000 5.1558
Na Tl C
1 3 1
direct
0.0000 0.0000 0.0000
0.0000 0.5000 0.5000
0.5000 0.0000 0.5000
0.5000 0.5000 0.0000
0.5000 0.5000 0.5000
```